(1)
# CuSbRh2

A relaxed structure of CuSbRh2 (GGA-PBEsol, Alexandria via LeMat-Bulk).

Values from the calculation:
energy above the most stable polymorph in this dataset	165	meV/atom
formation energy (no corrections)	-140	meV/atom
DFT total energy	-0.2364	Ha/atom
total magnetization	0.00	Bohr magnetons per cell

extended XYZ file:
```
4
Lattice="3.182 0.000 0.000 0.000 3.182 0.000 0.000 0.000 5.765" Properties=species:S:1:pos:R:3 pbc="T T T"
Cu 0.000 0.000 0.000
Sb 0.000 0.000 2.883
Rh 1.591 1.591 1.394
Rh 1.591 1.591 4.371
```


(2)
# Ga2AsSI

A relaxed structure of Ga2AsSI (GGA-PBEsol, Alexandria via LeMat-Bulk).

Values from the calculation:
formation energy (no corrections)	975	meV/atom
DFT total energy	-0.0960	Ha/atom
total magnetization	1.67	Bohr magnetons per cell

extended XYZ file:
```
5
Lattice="5.724 0.000 0.000 0.000 5.724 0.000 0.000 0.000 4.958" Properties=species:S:1:pos:R:3 pbc="T T T"
Ga 0.000 2.862 0.000
Ga 2.862 0.000 0.000
As 0.000 0.000 2.479
S 2.862 2.862 2.479
I 2.862 2.862 0.000
```


(3)
# BeInS3

A relaxed structure of BeInS3 (GGA-PBEsol, Alexandria via LeMat-Bulk).

Values from the calculation:
formation energy (no corrections)	54	meV/atom
DFT total energy	-0.1460	Ha/atom
total magnetization	0.00	Bohr magnetons per cell

extended XYZ file:
```
5
Lattice="4.366 0.000 0.000 0.000 4.366 0.000 0.000 0.000 4.366" Properties=species:S:1:pos:R:3 pbc="T T T"
Be 0.000 0.000 0.000
In 2.183 2.183 2.183
S 0.000 0.000 2.183
S 0.000 2.183 0.000
S 2.183 0.000 0.000
```


(4)
# Ba2InP

A relaxed structure of Ba2InP (GGA-PBEsol, Alexandria via LeMat-Bulk).

Values from the calculation:
energy above the most stable polymorph in this dataset	0	meV/atom
calculated formation energy	-522	meV per atom
DFT total energy	-0.1393	Ha/atom
total magnetization	0.67	Bohr magnetons per cell

extended XYZ file:
```
4
Lattice="2.237 1.291 9.048 -2.237 1.291 9.048 0.000 -2.583 9.048" Properties=species:S:1:pos:R:3 pbc="T T T"
Ba 0.000 0.000 6.282
Ba 0.000 0.000 20.862
In 0.000 0.000 0.000
P 0.000 0.000 13.572
```